Below is a geometry-optimized Tm3PbCS structure, with properties calculated at the GGA-PBE level.

## Properties
- V (Å³/cell) = 279.8
- space-group type = No. 11
- crystal system = monoclinic
- raw total energy (eV per atom) = -5.862
- D(E_F) (states/eV/cell) = 6.2

Lattice parameters (Å, degrees): 3.6571 7.3960 11.1643 112.07 90.00 90.00
Last column: nearest neighbours and their distance in Å.
Fractional coordinates of all 12 atoms:
1 Tm 0.2500 0.4935 0.8708  3 C 2.31-2.53
2 Tm 0.2500 0.0753 0.8690  2 C 2.35
3 Tm 0.7500 0.5065 0.1292  3 C 2.31-2.53
4 Tm 0.7500 0.9247 0.1310  2 C 2.35
5 Tm 0.7500 0.2399 0.5072  3 S 2.62-2.69
6 Tm 0.2500 0.7601 0.4928  3 S 2.62-2.69
7 C 0.2500 0.7085 0.0836  5 Tm 2.31-2.53
8 C 0.7500 0.2915 0.9164  5 Tm 2.31-2.53
9 S 0.2500 0.1436 0.6410  5 Tm 2.62-2.88
10 S 0.7500 0.8564 0.3590  5 Tm 2.62-2.88
11 Pb 0.7500 0.6884 0.7079  7 Tm 3.22-3.30
12 Pb 0.2500 0.3116 0.2921  7 Tm 3.22-3.30